Record 1
A plane-wave DFT calculation with PBE was carried out for a geometry-optimized PmDyGaPd structure.

abc: 3.8161 4.4896 5.9144
angles: 90.00 108.82 90.00
With the nearest neighbours (Å) after each atom.
Sites, in units of the cell vectors:
Pm: 0.1443 0.0000 0.2886  4 Ga 3.05, 3 Pd 3.12
Dy: 0.8591 0.5000 0.7183  4 Pd 3.03, 3 Ga 3.06-3.20
Ga: 0.5733 0.5000 0.1465  2 Pd 2.80, 4 Pm 3.05, 2 Dy 3.06
Pd: 0.4233 0.0000 0.8466  2 Ga 2.80, 4 Dy 3.03, 3 Pm 3.12

Output
V in A^3/atom: 23.98
Calculated density in g/cm³: 8.373
Relative energy among the computed polymorphs in meV per atom: 0
M_tot in μB/f.u.: 0.00
Energy relative to the elements in eV per atom: -0.707

---

Record 2
A plane-wave DFT calculation with PBE was carried out for a geometry-optimized PrDyGaPd structure.

abc: 5.1326 5.1326 5.1326
angles: 60.00 60.00 60.00
With the nearest neighbours (Å) after each atom.
Sites, in units of the cell vectors:
Pr: 0.2500 0.2500 0.2500  4 Ga 3.14, 4 Pd 3.14
Ga: 0.0000 0.0000 0.0000  4 Dy 3.14, 4 Pr 3.14
Pd: 0.5000 0.5000 0.5000  4 Pr 3.14, 4 Dy 3.14
Dy: 0.7500 0.7500 0.7500  4 Pd 3.14, 4 Ga 3.14

Output
V in A^3/atom: 23.90
Calculated density in g/cm³: 8.329
Relative energy among the computed polymorphs in meV per atom: 54
M_tot in μB/f.u.: 0.00
Energy relative to the elements in eV per atom: -0.629

---

Record 3
A plane-wave DFT calculation with PBE was carried out for a geometry-optimized PrDyGa2Pd5 structure.

abc: 4.2636 4.2636 9.2903
angles: 90.00 90.00 90.00
With the nearest neighbours (Å) after each atom.
Sites, in units of the cell vectors:
Pr: 0.0000 0.0000 0.5000  12 Pd 3.01
Dy: 0.0000 0.0000 0.0000  8 Ga 3.26, 8 Pd 3.30
Ga: 0.5000 0.5000 0.1330  1 Ga 2.47, 4 Pd 2.49
Ga: 0.5000 0.5000 0.8670  1 Ga 2.47, 4 Pd 2.49
Pd: 0.0000 0.5000 0.2706  2 Ga 2.49
Pd: 0.5000 0.0000 0.2706  2 Ga 2.49
Pd: 0.0000 0.5000 0.7294  2 Ga 2.49
Pd: 0.5000 0.0000 0.7294  2 Ga 2.49
Pd: 0.5000 0.5000 0.5000  8 Pd 3.01, 4 Pr 3.01

Output
V in A^3/atom: 18.76
Calculated density in g/cm³: 9.587
M_tot in μB/f.u.: 0.00
Energy relative to the elements in eV per atom: -0.765

---

Record 4
A plane-wave DFT calculation with PBE was carried out for a geometry-optimized PrDyGaPd structure.

abc: 3.8669 4.4561 6.0112
angles: 90.00 108.76 90.00
With the nearest neighbours (Å) after each atom.
Sites, in units of the cell vectors:
Pr: 0.1467 0.0000 0.2934  4 Ga 3.08, 3 Pd 3.14-3.20
Dy: 0.8611 0.5000 0.7221  4 Pd 3.03, 3 Ga 3.06-3.32
Ga: 0.5696 0.5000 0.1392  2 Pd 2.79, 2 Dy 3.06, 4 Pr 3.08
Pd: 0.4227 0.0000 0.8453  2 Ga 2.79, 4 Dy 3.03

Output
V in A^3/atom: 24.52
Calculated density in g/cm³: 8.119
Relative energy among the computed polymorphs in meV per atom: 0
M_tot in μB/f.u.: 0.00
Energy relative to the elements in eV per atom: -0.683